Record 1
Density functional theory data (SCAN) for a PBEsol-optimized structure of AlRu3Pt.

## Properties
The calculation puts the energy of formation from the pure elements at 8.87 eV/f.u.

Cell and atoms, written as CIF:
```
data_AlRu3Pt
_cell_length_a 4.662
_cell_length_b 4.662
_cell_length_c 4.662
_cell_angle_alpha 90.00
_cell_angle_beta 90.00
_cell_angle_gamma 90.00
_symmetry_space_group_name_H-M 'P m -3 m'
_symmetry_Int_Tables_number 221
_symmetry_space_group_name_Hall '-P 4 2 3'
loop_
_atom_site_label
_atom_site_fract_x
_atom_site_fract_y
_atom_site_fract_z
Al1 0.000 0.000 0.000
Ru1 0.000 0.500 0.500
Pt1 0.500 0.500 0.500
```

Record 2
Density functional theory data (SCAN) for a PBEsol-optimized structure of AlRuPt.

## Properties
The calculation puts the energy of formation from the pure elements at -0.74 eV/f.u.

Cell and atoms, written as CIF:
```
data_AlRuPt
_cell_length_a 5.881
_cell_length_b 5.881
_cell_length_c 5.881
_cell_angle_alpha 90.00
_cell_angle_beta 90.00
_cell_angle_gamma 90.00
_symmetry_space_group_name_H-M 'F -4 3 m'
_symmetry_Int_Tables_number 216
_symmetry_space_group_name_Hall 'F -4 2 3'
loop_
_atom_site_label
_atom_site_fract_x
_atom_site_fract_y
_atom_site_fract_z
Al1 0.000 0.000 0.000
Ru1 0.000 0.000 0.500
Pt1 0.250 0.250 0.750
```

Record 3
Density functional theory data (SCAN) for a PBEsol-optimized structure of AlPt3S.

## Properties
The calculation puts the energy relative to the lowest polymorph listed for this composition at 0.410 eV/atom.

Cell and atoms, written as CIF:
```
data_AlPt3S
_cell_length_a 4.510
_cell_length_b 4.510
_cell_length_c 4.510
_cell_angle_alpha 90.00
_cell_angle_beta 90.00
_cell_angle_gamma 90.00
_symmetry_space_group_name_H-M 'P m -3 m'
_symmetry_Int_Tables_number 221
_symmetry_space_group_name_Hall '-P 4 2 3'
loop_
_atom_site_label
_atom_site_fract_x
_atom_site_fract_y
_atom_site_fract_z
Al1 0.000 0.000 0.000
Pt1 0.000 0.000 0.500
S1 0.500 0.500 0.500
```

Record 4
Density functional theory data (SCAN) for a PBEsol-optimized structure of AlPt3S.

## Properties
The calculation puts the energy relative to the lowest polymorph listed for this composition at 0.000 eV/atom.

Cell and atoms, written as CIF:
```
data_AlPt3S
_cell_length_a 4.464
_cell_length_b 4.464
_cell_length_c 4.464
_cell_angle_alpha 90.00
_cell_angle_beta 90.00
_cell_angle_gamma 90.00
_symmetry_space_group_name_H-M 'P m -3 m'
_symmetry_Int_Tables_number 221
_symmetry_space_group_name_Hall '-P 4 2 3'
loop_
_atom_site_label
_atom_site_fract_x
_atom_site_fract_y
_atom_site_fract_z
Al1 0.000 0.000 0.000
Pt1 0.000 0.500 0.500
S1 0.500 0.500 0.500
```

Record 5
Density functional theory data (SCAN) for a PBEsol-optimized structure of AlSbPtS2.

## Properties
The value obtained for the calculated total energy is -25.726 eV/atom.

Cell and atoms, written as CIF:
```
data_AlSbPtS2
_cell_length_a 4.886
_cell_length_b 4.886
_cell_length_c 5.081
_cell_angle_alpha 90.00
_cell_angle_beta 90.00
_cell_angle_gamma 90.00
_symmetry_space_group_name_H-M 'P 4/m m m'
_symmetry_Int_Tables_number 123
_symmetry_space_group_name_Hall '-P 4 2'
loop_
_atom_site_label
_atom_site_fract_x
_atom_site_fract_y
_atom_site_fract_z
Al1 0.000 0.000 0.000
Sb1 0.000 0.000 0.500
Pt1 0.500 0.500 0.000
S1 0.000 0.500 0.500
```

Record 6
Density functional theory data (SCAN) for a PBEsol-optimized structure of AlSbPt2S.

## Properties
The value obtained for the calculated total energy is -37.907 eV/atom.

Cell and atoms, written as CIF:
```
data_AlSbPt2S
_cell_length_a 4.890
_cell_length_b 4.890
_cell_length_c 5.144
_cell_angle_alpha 90.00
_cell_angle_beta 90.00
_cell_angle_gamma 90.00
_symmetry_space_group_name_H-M 'P 4/m m m'
_symmetry_Int_Tables_number 123
_symmetry_space_group_name_Hall '-P 4 2'
loop_
_atom_site_label
_atom_site_fract_x
_atom_site_fract_y
_atom_site_fract_z
Al1 0.000 0.000 0.000
Sb1 0.000 0.000 0.500
Pt1 0.000 0.500 0.500
S1 0.500 0.500 0.000
```

Record 7
Density functional theory data (SCAN) for a PBEsol-optimized structure of Al2SbPt.

## Properties
The value obtained for the calculated total energy is -30.846 eV/atom.

Cell and atoms, written as CIF:
```
data_Al2SbPt
_cell_length_a 4.196
_cell_length_b 4.196
_cell_length_c 8.060
_cell_angle_alpha 90.00
_cell_angle_beta 90.00
_cell_angle_gamma 90.00
_symmetry_space_group_name_H-M 'I -4 m 2'
_symmetry_Int_Tables_number 119
_symmetry_space_group_name_Hall 'I -4 -2'
loop_
_atom_site_label
_atom_site_fract_x
_atom_site_fract_y
_atom_site_fract_z
Al1 0.000 0.000 0.000
Al2 0.000 0.500 0.250
Sb1 0.000 0.500 0.750
Pt1 0.000 0.000 0.500
```

Record 8
Density functional theory data (SCAN) for a PBEsol-optimized structure of Al2SbPt.

## Properties
The value obtained for the calculated total energy is -31.138 eV/atom.

Cell and atoms, written as CIF:
```
data_Al2SbPt
_cell_length_a 8.010
_cell_length_b 3.340
_cell_length_c 5.773
_cell_angle_alpha 90.00
_cell_angle_beta 103.42
_cell_angle_gamma 90.00
_symmetry_space_group_name_H-M 'C 1 2/m 1'
_symmetry_Int_Tables_number 12
_symmetry_space_group_name_Hall '-C 2y'
loop_
_atom_site_label
_atom_site_fract_x
_atom_site_fract_y
_atom_site_fract_z
Al1 0.234 0.000 0.183
Sb1 0.000 0.000 0.500
Pt1 0.000 0.500 0.000
```

no.,magnetic moment (μB/f.u.)
1,4.97
2,1.81
3,0.00
4,0.00
5,0.76
6,0.00
7,0.00
8,0.00